A.
NaHf3Ru: relaxed, PBE.

Summary:
Calculated density, g/cm³: 9.96

```
data_NaHf3Ru
_chemical_formula_sum 'Na1 Hf3 Ru1'
_cell_length_a 4.791
_cell_length_b 4.791
_cell_length_c 4.791
_cell_angle_alpha 90.00
_cell_angle_beta 90.00
_cell_angle_gamma 90.00
_space_group_name_H-M_alt 'P m -3 m'
_space_group_IT_number 221
_space_group_name_Hall '-P 4 2 3'
loop_
_atom_site_label
_atom_site_type_symbol
_atom_site_fract_x
_atom_site_fract_y
_atom_site_fract_z
Na1 Na 0.000 0.000 0.000
Hf1 Hf 0.000 0.000 0.500
Ru1 Ru 0.500 0.500 0.500
```



B.
NaHf3Ru: relaxed, PBE.

Summary:
Calculated density, g/cm³: 8.48

```
data_NaHf3Ru
_chemical_formula_sum 'Na1 Hf3 Ru1'
_cell_length_a 5.055
_cell_length_b 5.055
_cell_length_c 5.055
_cell_angle_alpha 90.00
_cell_angle_beta 90.00
_cell_angle_gamma 90.00
_space_group_name_H-M_alt 'P m -3 m'
_space_group_IT_number 221
_space_group_name_Hall '-P 4 2 3'
loop_
_atom_site_label
_atom_site_type_symbol
_atom_site_fract_x
_atom_site_fract_y
_atom_site_fract_z
Na1 Na 0.000 0.000 0.000
Hf1 Hf 0.000 0.500 0.500
Ru1 Ru 0.500 0.500 0.500
```



B (1.495 eV/atom below the next structure)